First-principles (meta-GGA SCAN) data for a PBEsol-optimized structure of Li2TeAu2, as listed in Alexandria via LeMat-Bulk.

a b c (Å): 7.877 7.877 2.891
angles (deg): 90.00 90.00 90.00
Positions (direct):
Li: 0.161 0.339 0.000
Li: 0.339 0.839 0.000
Li: 0.661 0.161 0.000
Li: 0.839 0.661 0.000
Te: 0.000 0.000 0.000
Te: 0.500 0.500 0.000
Au: 0.127 0.627 0.500
Au: 0.373 0.127 0.500
Au: 0.627 0.873 0.500
Au: 0.873 0.373 0.500

Computed properties:
The value obtained for the density of states at the Fermi level is 3.02 states/eV/cell. As for the total magnetization: 0.000 μB per atom. The total energy comes out at -36.47 eV/atom. The energy relative to the elements, uncorrected is -1.98 eV/f.u.